The following is a DFT calculation (GGA-PBE) of a relaxed structure of CaTaCl2.

Cell and atoms, written as extended XYZ:
```
4
Lattice="3.1814 0.0000 0.0000 0.0000 6.3358 0.0000 -0.5471 0.0000 4.4968" Properties=species:S:1:pos:R:3 pbc="T T T"
Ca 0.0000 0.0000 0.0000
Ta 1.3772 3.1679 0.1809
Cl 0.0989 3.1679 2.2856
Cl 1.4165 0.0000 2.2068
```

Magnetization (μB per cell): 0.0
Crystal system: monoclinic
Total DFT energy (no corrections) (eV/f.u.): -19.09
Formation energy (no corrections) (meV/atom): -387
Energy above the lowest structure with this stoichiometry (eV/f.u.): 1.23
Fermi-level density of states (states/eV/cell): 3.864